[1]
DyHo2TmCd2 | OQMD via LeMat-Bulk | PBE-GGA | optimized geometry; space group = Amm2; density = 8.94 g/cm³; E_tot = -3.56 eV/atom; energy of formation = -0.222 eV per atom
1.0
5.347 0.000 0.000
0.000 1.820 8.459
0.000 -1.820 8.459
Cd Dy Ho Tm
2 1 2 1
direct
0.500 0.432 0.432
0.000 0.566 0.566
0.500 0.090 0.090
0.000 0.225 0.225
0.500 0.776 0.776
0.000 0.910 0.910

***

[2]
DyCdSbI2 | OQMD via LeMat-Bulk | PBE-GGA | optimized geometry; space group = P3m1; density = 5.96 g/cm³; E_tot = -3.30 eV/atom
1.0
4.384 0.000 0.000
-2.192 3.796 0.000
0.000 0.000 10.880
Cd Dy I Sb
1 1 2 1
direct
0.000 0.000 0.154
0.667 0.333 0.851
0.667 0.333 0.319
0.000 0.000 0.673
0.333 0.667 0.003